[1]
First-principles (PBE) data for a relaxed structure of Cu3PtO, as listed in Alexandria via LeMat-Bulk.

POSCAR file:
```
Cu3PtO
1.0
-1.077 4.488 0.641
-1.466 0.279 -4.414
-4.290 -1.222 1.348
O Cu Pt
1 3 1
direct
0.500 0.500 0.500
0.000 0.500 0.000
0.000 0.000 0.500
0.500 0.000 0.000
0.000 0.000 0.000
```

relative energy among the computed polymorphs = 1385 meV per atom
space-group type = No. 221

[2]
First-principles (PBE) data for a relaxed structure of Y3ThO, as listed in Alexandria via LeMat-Bulk.

POSCAR file:
```
Y3ThO
1.0
-1.472 -0.104 4.754
-4.704 -0.696 -1.472
0.695 -4.928 0.107
O Th Y
1 1 3
direct
0.000 0.000 0.000
0.500 0.500 0.500
0.000 0.500 0.000
0.500 0.000 0.000
0.000 0.000 0.500
```

space-group type = No. 221

[3]
First-principles (PBE) data for a relaxed structure of TlGeN3, as listed in Alexandria via LeMat-Bulk.

POSCAR file:
```
TlGeN3
1.0
3.928 0.000 0.000
0.000 3.928 0.000
0.000 0.000 3.928
N Tl Ge
3 1 1
direct
0.500 0.000 0.000
0.000 0.500 0.000
0.000 0.000 0.500
0.500 0.500 0.500
0.000 0.000 0.000
```

space-group type = No. 221

The records above give, respectively, DFT total energy values of -3.355 -7.374 -4.919 eV/atom.
The records above give, respectively, E_form (uncorrected) values of 1.302 -1.020 1.473 eV per atom.